Record 1
Material: PmInRh
Method: DFT, PBE
State: relaxed

Cell lengths 6.703, 6.703, 6.703 Å; angles 90.00, 90.00, 90.00 degrees
Positions (direct):
Pm (0.000, 0.000, 0.000)
Pm (0.000, 0.500, 0.500)
Pm (0.500, 0.000, 0.500)
Pm (0.500, 0.500, 0.000)
In (0.000, 0.000, 0.500)
In (0.000, 0.500, 0.000)
In (0.500, 0.000, 0.000)
In (0.500, 0.500, 0.500)
Rh (0.250, 0.250, 0.250)
Rh (0.250, 0.750, 0.750)
Rh (0.750, 0.250, 0.750)
Rh (0.750, 0.750, 0.250)

For the total energy, the calculation gives -0.405 Ry/atom. The value obtained for the formation enthalpy at 0 K is -0.56 eV/atom. Its space-group type is F-43m (216). Its offset from the most stable computed form is 142 meV per atom. The value obtained for the total magnetization is 0.000 μB/cell.

Record 2
Material: PmIn2Rh
Method: DFT, PBE
State: relaxed

Cell lengths 7.029, 7.029, 7.029 Å; angles 90.00, 90.00, 90.00 degrees
Positions (direct):
Pm (0.000, 0.000, 0.000)
Pm (0.000, 0.500, 0.500)
Pm (0.500, 0.000, 0.500)
Pm (0.500, 0.500, 0.000)
In (0.250, 0.250, 0.250)
In (0.250, 0.250, 0.750)
In (0.250, 0.750, 0.250)
In (0.250, 0.750, 0.750)
In (0.750, 0.250, 0.250)
In (0.750, 0.250, 0.750)
In (0.750, 0.750, 0.250)
In (0.750, 0.750, 0.750)
Rh (0.000, 0.000, 0.500)
Rh (0.000, 0.500, 0.000)
Rh (0.500, 0.000, 0.000)
Rh (0.500, 0.500, 0.500)

For the total energy, the calculation gives -0.352 Ry/atom. The value obtained for the formation enthalpy at 0 K is -0.40 eV/atom. Its space-group type is Fm-3m (225). Its offset from the most stable computed form is 217 meV per atom. The value obtained for the total magnetization is 0.000 μB/cell.